First-principles (PBE) data for U2Ge3Rh3 after structural relaxation, as listed in Alexandria.

Calculated values
Space-group type ... No. 123
Calculated volume ... 18.92 A^3/atom
Uncorrected energy ... -6.92 eV per atom
Magnetic moment ... 0.021 μB/cell
E_form ... 391 meV per atom

Cell and atoms, written as POSCAR:
```
U2Ge3Rh3
1.0
2.725 0.000 0.000
0.000 2.725 0.000
0.000 0.000 20.384
Rh Ge U
3 3 2
Direct
0.500 0.500 0.877
0.500 0.500 0.500
0.500 0.500 0.123
0.500 0.500 0.618
0.500 0.500 0.000
0.500 0.500 0.382
0.500 0.500 0.242
0.500 0.500 0.758
```